1.
DFT (GGA-PBE) results for crystalline ZrPaSi2 at its relaxed geometry.

a b c (Å): 4.4181 4.4181 5.5000
angles (deg): 66.32 66.32 60.00
Last column: nearest neighbours and their distance in Å.
Element x y z (fractional)
Si1 0.7397 0.7397 0.7808  3 Zr 2.77, 3 Pa 2.89
Si2 0.2603 0.2603 0.2192  3 Zr 2.77, 3 Pa 2.89
Pa1 0.5000 0.5000 0.5000  6 Si 2.89
Zr1 0.0000 0.0000 0.0000  6 Si 2.77

Results
Fermi-level density of states = 3.4 states/eV/f.u.
Formation energy without anion corrections = -470 meV per atom
Space-group type = R-3m
Offset from the most stable computed form = 148 meV/atom

2.
DFT (GGA-PBE) results for crystalline Cs3Ho2SnTe6 at its relaxed geometry.

a b c (Å): 7.9099 7.9099 9.2784
angles (deg): 98.16 98.16 120.02
Last column: nearest neighbours and their distance in Å.
Element x y z (fractional)
Te1 0.7267 0.7267 0.1873  2 Ho 3.11, 1 Sn 3.13
Te2 0.3982 0.0625 0.1874  2 Ho 3.11, 1 Sn 3.14
Te3 0.0625 0.3982 0.1874  2 Ho 3.11, 1 Sn 3.14
Te4 0.9375 0.6018 0.8126  2 Ho 3.11, 1 Sn 3.14
Te5 0.6018 0.9375 0.8126  2 Ho 3.11, 1 Sn 3.14
Te6 0.2733 0.2733 0.8127  2 Ho 3.11, 1 Sn 3.13
Cs1 0.1662 0.8338 0.5000  6 Te 3.82-3.84
Cs2 0.8338 0.1662 0.5000  6 Te 3.82-3.84
Cs3 0.5000 0.5000 0.5000  6 Te 3.82-3.84
Sn1 0.0000 0.0000 0.0000  6 Te 3.13-3.14
Ho1 0.3332 0.6668 0.0000  6 Te 3.11
Ho2 0.6668 0.3332 0.0000  6 Te 3.11

Results
Fermi-level density of states = 4.0 states/eV/f.u.
Formation energy without anion corrections = -1087 meV per atom
Space-group type = C2/m

3.
DFT (GGA-PBE) results for crystalline Tb3Pr8Ho at its relaxed geometry.

a b c (Å): 12.1217 12.8405 9.9139
angles (deg): 147.08 90.00 118.16
Last column: nearest neighbours and their distance in Å.
Element x y z (fractional)
Tb1 0.0000 0.5000 0.0000  8 Pr 3.53-3.84, 2 Tb 3.57
Tb2 0.5000 0.5000 0.0000  8 Pr 3.53-3.84, 2 Tb 3.57
Tb3 0.5000 0.0000 0.0000  8 Pr 3.54-3.82, 2 Ho 3.57
Pr1 0.8179 0.6358 0.9711  3 Tb 3.53-3.54, 6 Pr 3.55-3.65, 1 Ho 3.85
Pr2 0.1792 0.8612 0.0269  1 Ho 3.52, 3 Tb 3.54-3.84, 6 Pr 3.57-3.65
Pr3 0.1821 0.3642 0.0289  3 Tb 3.53-3.54, 6 Pr 3.55-3.65, 1 Ho 3.85
Pr4 0.6815 0.3631 0.0306  1 Ho 3.52, 3 Tb 3.55-3.82, 6 Pr 3.55-3.68
Pr5 0.3180 0.1388 0.9731  1 Ho 3.52, 3 Tb 3.54-3.84, 6 Pr 3.57-3.65
Pr6 0.6820 0.8612 0.0269  1 Ho 3.52, 3 Tb 3.54-3.84, 6 Pr 3.57-3.65
Pr7 0.3185 0.6369 0.9694  1 Ho 3.52, 3 Tb 3.55-3.82, 6 Pr 3.55-3.68
Pr8 0.8208 0.1388 0.9731  1 Ho 3.52, 3 Tb 3.54-3.84, 6 Pr 3.57-3.65
Ho1 0.0000 0.0000 0.0000  8 Pr 3.52-3.85, 2 Tb 3.57

Results
Fermi-level density of states = 23.2 states/eV/f.u.
Space-group type = C2/m
Formation energy from the elements = 108 meV per atom

4.
DFT (GGA-PBE) results for crystalline Zr6Mn2Pb at its relaxed geometry.

a b c (Å): 7.9040 7.9040 7.9040
angles (deg): 103.46 113.21 111.90
Last column: nearest neighbours and their distance in Å.
Element x y z (fractional)
Pb1 0.0000 0.0000 0.0000  8 Zr 3.04-3.08, 2 Mn 3.29
Pb2 0.0000 0.5000 0.5000  12 Zr 3.13-3.24
Mn1 0.6216 0.0000 0.6216  1 Mn 2.12
Mn2 0.3784 0.0000 0.3784  1 Mn 2.12
Mn3 0.5000 0.3964 0.8964  1 Mn 2.03
Mn4 0.5000 0.6036 0.1036  1 Mn 2.03
Zr1 0.7834 0.2442 0.0276  2 Mn 2.77-2.88, 1 Pb 3.04, 2 Zr 3.09
Zr2 0.5124 0.7135 0.7989  3 Mn 2.77-2.97, 1 Pb 3.08
Zr3 0.2166 0.7558 0.9724  2 Mn 2.77-2.88, 1 Pb 3.04, 2 Zr 3.09
Zr4 0.7834 0.7558 0.5393  2 Mn 2.77-2.88, 1 Pb 3.04, 2 Zr 3.09
Zr5 0.2988 0.6075 0.3087  3 Mn 2.68-2.79
Zr6 0.4876 0.2865 0.2011  3 Mn 2.77-2.97, 1 Pb 3.08
Zr7 0.7012 0.3925 0.6913  3 Mn 2.68-2.79
Zr8 0.0853 0.2865 0.7989  3 Mn 2.77-2.97, 1 Pb 3.08
Zr9 0.9147 0.7135 0.2011  3 Mn 2.77-2.97, 1 Pb 3.08
Zr10 0.7012 0.0099 0.3087  3 Mn 2.68-2.79
Zr11 0.2166 0.2442 0.4607  2 Mn 2.77-2.88, 1 Pb 3.04, 2 Zr 3.09
Zr12 0.2988 0.9901 0.6913  3 Mn 2.68-2.79

Results
Fermi-level density of states = 12.6 states/eV/f.u.
Space-group type = Immm
Formation energy from the elements = -42 meV per atom

5.
DFT (GGA-PBE) results for crystalline CeLuOs at its relaxed geometry.

a b c (Å): 3.3068 4.7446 4.7446
angles (deg): 120.00 90.00 90.00
Last column: nearest neighbours and their distance in Å.
Element x y z (fractional)
Lu1 0.6330 0.3333 0.6667  3 Os 2.92, 3 Ce 3.05
Ce1 0.0359 0.0000 0.0000  3 Os 2.91, 3 Lu 3.05
Os1 0.3312 0.6667 0.3333  3 Ce 2.91, 3 Lu 2.92

Results
Fermi-level density of states = 4.5 states/eV/f.u.
Space-group type = P3m1
Offset from the most stable computed form = 145 meV/atom
Formation energy from the elements = -28 meV per atom

6.
DFT (GGA-PBE) results for crystalline TaPt3Rh at its relaxed geometry.

a b c (Å): 4.8063 4.8063 4.8063
angles (deg): 90.00 90.00 90.00
Last column: nearest neighbours and their distance in Å.
Element x y z (fractional)
Ta1 0.0000 0.0000 0.0000  6 Pt 2.40
Pt1 0.0000 0.5000 0.0000  2 Ta 2.40
Pt2 0.0000 0.0000 0.5000  2 Ta 2.40
Pt3 0.5000 0.0000 0.0000  2 Ta 2.40
Rh1 0.5000 0.5000 0.5000  12 Pt 3.40

Results
Fermi-level density of states = 6.0 states/eV/f.u.
Space-group type = Pm-3m
Offset from the most stable computed form = 1752 meV/atom
Formation energy from the elements = 1195 meV per atom

7.
DFT (GGA-PBE) results for crystalline AlVS3 at its relaxed geometry.

a b c (Å): 4.6026 4.6026 4.6026
angles (deg): 90.00 90.00 90.00
Last column: nearest neighbours and their distance in Å.
Element x y z (fractional)
V1 0.0000 0.0000 0.0000  6 S 2.30
S1 0.0000 0.0000 0.5000  2 V 2.30
S2 0.5000 0.0000 0.0000  2 V 2.30
S3 0.0000 0.5000 0.0000  2 V 2.30
Al1 0.5000 0.5000 0.5000  12 S 3.25

Results
Fermi-level density of states = 4.4 states/eV/f.u.
Formation energy without anion corrections = -145 meV per atom
Space-group type = Pm-3m
Offset from the most stable computed form = 746 meV/atom

8.
DFT (GGA-PBE) results for crystalline Tb2Sm7Th3 at its relaxed geometry.

a b c (Å): 6.4898 6.4898 11.8024
angles (deg): 74.04 74.04 60.00
Last column: nearest neighbours and their distance in Å.
Element x y z (fractional)
Th1 0.8477 0.8477 0.4569  12 Sm 3.70-3.95, 3 Th 3.87
Th2 0.1523 0.1523 0.5431  12 Sm 3.70-3.95, 3 Th 3.87
Th3 0.0000 0.0000 0.0000  6 Tb 3.75
Sm1 0.4107 0.4107 0.2557  5 Sm 3.17-3.34, 2 Tb 3.41-3.43
Sm2 0.5893 0.0770 0.7443  5 Sm 3.17-3.34, 2 Tb 3.41-3.43
Sm3 0.5893 0.5893 0.7443  5 Sm 3.17-3.34, 2 Tb 3.41-3.43
Sm4 0.9230 0.4107 0.2557  5 Sm 3.17-3.34, 2 Tb 3.41-3.43
Sm5 0.4107 0.9230 0.2557  5 Sm 3.17-3.34, 2 Tb 3.41-3.43
Sm6 0.5000 0.5000 0.5000  6 Sm 3.34
Sm7 0.0770 0.5893 0.7443  5 Sm 3.17-3.34, 2 Tb 3.41-3.43
Tb1 0.3345 0.3345 0.9965  6 Sm 3.41-3.43, 3 Th 3.75, 3 Tb 3.75
Tb2 0.6655 0.6655 0.0035  6 Sm 3.41-3.43, 3 Th 3.75, 3 Tb 3.75

Results
Fermi-level density of states = 24.1 states/eV/f.u.
Space-group type = R-3m
Formation energy from the elements = 369 meV per atom

9.
DFT (GGA-PBE) results for crystalline Ac2TbHf at its relaxed geometry.

a b c (Å): 3.5717 3.5717 12.8054
angles (deg): 81.98 81.98 60.00
Last column: nearest neighbours and their distance in Å.
Element x y z (fractional)
Tb1 0.5000 0.5000 0.5000  6 Tb 3.57, 6 Ac 3.74
Hf1 0.0000 0.0000 0.0000  2 Ac 3.20, 6 Hf 3.57
Ac1 0.9156 0.9156 0.2533  1 Hf 3.20, 6 Ac 3.57
Ac2 0.0844 0.0844 0.7467  1 Hf 3.20, 6 Ac 3.57

Results
Fermi-level density of states = 5.5 states/eV/f.u.
Space-group type = R-3m
Formation energy from the elements = 546 meV per atom

10.
DFT (GGA-PBE) results for crystalline PmYAgOs at its relaxed geometry.

a b c (Å): 5.0208 5.0208 5.0208
angles (deg): 60.00 60.00 60.00
Last column: nearest neighbours and their distance in Å.
Element x y z (fractional)
Pm1 0.2500 0.2500 0.2500  4 Os 3.07, 4 Ag 3.07
Ag1 0.0000 0.0000 0.0000  4 Pm 3.07, 4 Y 3.07
Os1 0.5000 0.5000 0.5000  4 Y 3.07, 4 Pm 3.07
Y1 0.7500 0.7500 0.7500  4 Os 3.07, 4 Ag 3.07

Results
Fermi-level density of states = 2.9 states/eV/f.u.
Space-group type = F-43m
Formation energy from the elements = -187 meV per atom

11.
DFT (GGA-PBE) results for crystalline SmHoIn2 at its relaxed geometry.

a b c (Å): 3.7879 3.7879 7.5754
angles (deg): 90.00 90.00 90.00
Last column: nearest neighbours and their distance in Å.
Element x y z (fractional)
In1 0.0000 0.0000 0.7591  4 Ho 3.24, 4 Sm 3.32
In2 0.0000 0.0000 0.2409  4 Ho 3.24, 4 Sm 3.32
Ho1 0.5000 0.5000 0.0000  8 In 3.24
Sm1 0.5000 0.5000 0.5000  8 In 3.32

Results
Fermi-level density of states = 2.4 states/eV/f.u.
Space-group type = P4/mmm
Offset from the most stable computed form = 0 meV/atom
Formation energy from the elements = -475 meV per atom

12.
DFT (GGA-PBE) results for crystalline Ac6Tl3Se2S at its relaxed geometry.

a b c (Å): 4.5020 9.4922 10.6552
angles (deg): 109.40 102.20 90.00
Last column: nearest neighbours and their distance in Å.
Element x y z (fractional)
Ac1 0.3502 0.8692 0.7004  1 S 2.94, 2 Se 3.13
Ac2 0.9956 0.2296 0.9911  2 S 3.16, 1 Se 3.32, 2 Tl 3.39
Ac3 0.6498 0.1308 0.2996  1 S 2.94, 2 Se 3.13
Ac4 0.0044 0.7704 0.0089  2 S 3.16, 1 Se 3.32, 2 Tl 3.39
Ac5 0.6725 0.6117 0.3451  3 Se 3.18-3.33, 3 Tl 3.38-3.48
Ac6 0.3275 0.3883 0.6549  3 Se 3.18-3.33, 3 Tl 3.38-3.48
S1 0.5000 0.0000 0.0000  6 Ac 2.94-3.16
Se1 0.8353 0.6306 0.6706  6 Ac 3.13-3.33
Se2 0.1647 0.3694 0.3294  6 Ac 3.13-3.33
Tl1 0.8089 0.0975 0.6179  2 Tl 3.38, 6 Ac 3.43-3.66
Tl2 0.1911 0.9025 0.3821  2 Tl 3.38, 6 Ac 3.43-3.66
Tl3 0.5000 0.5000 0.0000  6 Ac 3.38-3.39

Results
Fermi-level density of states = 5.2 states/eV/f.u.
Formation energy without anion corrections = -1081 meV per atom
Space-group type = C2/m